Entry 1:
# PBE Er3Zn8Pd, optimized geometry
# Energy   -33.50 eV per formula unit
# Volume   17.718 Å³ per atom
# Formation energy   -369 meV per atom
# Total magnetic moment   0.0 μB/f.u.
data_Er3Zn8Pd
_symmetry_space_group_name_H-M 'R 3 m'
_symmetry_Int_Tables_number 160
_symmetry_space_group_name_Hall 'R 3 -2"'
_cell_length_a 5.2867
_cell_length_b 5.2867
_cell_length_c 26.3528
_cell_angle_alpha 90.00
_cell_angle_beta 90.00
_cell_angle_gamma 120.00
loop_
_atom_site_label
_atom_site_type_symbol
_atom_site_fract_x
_atom_site_fract_y
_atom_site_fract_z
_atom_site_occupancy
Er1 Er 0.0000 0.0000 0.0000 1
Er2 Er 0.0000 0.0000 0.1259 1
Er3 Er 0.0000 0.0000 0.5120 1
Zn1 Zn 0.0000 0.0000 0.3155 1
Zn2 Zn 0.0000 0.0000 0.8172 1
Zn3 Zn 0.0001 0.5000 0.5678 1
Zn4 Zn 0.1675 0.3351 0.3980 1
Pd1 Pd 0.0000 0.0000 0.6252 1

***

Entry 2:
# PBE Er3ZnPd12, optimized geometry
# Energy   -89.18 eV per formula unit
# Volume   16.702 Å³ per atom
# Formation energy   -744 meV per atom
# Total magnetic moment   0.0 μB/f.u.
data_Er3ZnPd12
_symmetry_space_group_name_H-M 'P 4/m m m'
_symmetry_Int_Tables_number 123
_symmetry_space_group_name_Hall '-P 4 2'
_cell_length_a 4.077
_cell_length_b 4.077
_cell_length_c 16.079
_cell_angle_alpha 90.00
_cell_angle_beta 90.00
_cell_angle_gamma 90.00
loop_
_atom_site_label
_atom_site_type_symbol
_atom_site_fract_x
_atom_site_fract_y
_atom_site_fract_z
_atom_site_occupancy
Er1 Er 0.000 0.000 0.000 1
Er2 Er 0.000 0.000 0.258 1
Zn1 Zn 0.000 0.000 0.500 1
Pd1 Pd 0.000 0.500 0.128 1
Pd2 Pd 0.000 0.500 0.385 1
Pd3 Pd 0.500 0.500 0.000 1
Pd4 Pd 0.500 0.500 0.256 1
Pd5 Pd 0.500 0.500 0.500 1

***

Entry 3:
# PBE ErZn2Pd2, optimized geometry
# Energy   -20.35 eV per formula unit
# Volume   19.225 Å³ per atom
# Formation energy   -571 meV per atom
# Total magnetic moment   0.0 μB/f.u.
# Energy above the lowest structure with this stoichiometry   0.072 eV/atom
data_ErZn2Pd2
_symmetry_space_group_name_H-M 'C 1 2/c 1'
_symmetry_Int_Tables_number 15
_cell_length_a 4.994
_cell_length_b 9.167
_cell_length_c 8.754
_cell_angle_alpha 90.00
_cell_angle_beta 106.37
_cell_angle_gamma 90.00
loop_
_symmetry_equiv_pos_as_xyz
'x,y,z'
'-x,-y,-z'
'-x,y,-z+1/2'
'x,-y,z+1/2'
'x+1/2,y+1/2,z'
'-x+1/2,-y+1/2,-z'
'-x+1/2,y+1/2,-z+1/2'
'x+1/2,-y+1/2,z+1/2'
loop_
_atom_site_label
_atom_site_type_symbol
_atom_site_fract_x
_atom_site_fract_y
_atom_site_fract_z
_atom_site_occupancy
Er1 Er 0.000 0.125 0.250 1
Zn1 Zn 0.123 0.375 0.997 1
Pd1 Pd 0.000 0.206 0.750 1
Pd2 Pd 0.000 0.457 0.250 1

***

Question: Which of these has the lowest formation energy?
Answer: Er3ZnPd12